Record 1
Here is a relaxed Sm12HfIn3 crystal from Alexandria. Energies are from PBE.

Geometry as POSCAR:
```
Sm12HfIn3
1.0
4.921 0.000 0.000
0.000 4.921 0.000
0.000 0.000 19.908
Sm Hf In
12 1 3
Cartesian
0.000 0.000 0.000 Sm
0.000 0.000 4.978 Sm
0.000 0.000 9.954 Sm
0.000 0.000 14.930 Sm
0.000 2.461 2.447 Sm
0.000 2.461 7.458 Sm
0.000 2.461 12.450 Sm
0.000 2.461 17.461 Sm
2.461 0.000 2.447 Sm
2.461 0.000 7.458 Sm
2.461 0.000 12.450 Sm
2.461 0.000 17.461 Sm
2.461 2.461 0.000 Hf
2.461 2.461 5.034 In
2.461 2.461 9.954 In
2.461 2.461 14.874 In
```

Fermi-level density of states = 21.3 states/eV/cell
Density = 8.0 Mg/m³
Symmetry = No. 123
Energy of formation = -164 meV/atom
Uncorrected energy = -4.84 eV/atom

***

Record 2
Here is a relaxed Y2ScRhS crystal from Alexandria. Energies are from PBE.

Geometry as POSCAR:
```
Y2ScRhS
1.0
5.401 0.000 0.000
0.000 5.401 0.000
0.000 0.000 4.521
Y Sc Rh S
2 1 1 1
Cartesian
0.000 2.700 0.000 Y
2.700 0.000 0.000 Y
0.000 0.000 2.261 Sc
2.700 2.700 0.000 Rh
2.700 2.700 2.261 S
```

Fermi-level density of states = 4.9 states/eV/cell
Density = 4.5 Mg/m³
Formation energy (no corrections) = -0.10 eV per atom
Symmetry = No. 123
Uncorrected energy = -6.25 eV/atom

***

Record 3
Here is a relaxed TmTl2B2O6 crystal from Alexandria. Energies are from PBE.

Geometry as POSCAR:
```
TmTl2B2O6
1.0
4.723 -2.726 0.000
4.723 2.726 0.000
-3.162 0.000 5.992
Tm Tl B O
1 2 2 6
Cartesian
0.000 0.000 0.000 Tm
-0.012 0.000 3.876 Tl
6.295 0.000 2.116 Tl
3.151 0.000 1.361 B
3.132 0.000 4.631 B
1.765 0.000 1.351 O
3.845 1.201 1.358 O
2.439 1.201 4.634 O
3.845 -1.201 1.358 O
2.439 -1.201 4.634 O
4.519 0.000 4.641 O
```

Fermi-level density of states = 5.1 states/eV/cell
Density = 7.5 Mg/m³
Formation energy (no corrections) = -2.13 eV per atom
Symmetry = No. 12
Uncorrected energy = -6.89 eV/atom